DFT (PBE) results for Li5NdAg6 after structural relaxation.

Cell and atoms, written as POSCAR:
```
Li5NdAg6
1.0
-4.306 1.721 0.763
-2.720 -5.760 -2.354
3.587 -0.615 7.158
Li Ag Nd
5 6 1
Cartesian
-1.310 -4.664 3.131 Li
-1.360 -2.880 -1.177 Li
0.048 -1.731 4.181 Li
-3.488 -2.923 1.386 Li
-2.129 0.010 2.436 Li
-0.714 -2.505 1.627 Ag
-2.726 -2.148 3.940 Ag
-1.485 0.478 5.013 Ag
-2.935 -0.795 -0.295 Ag
-4.091 -3.244 -1.296 Ag
-1.954 -5.132 0.553 Ag
0.000 0.000 0.000 Nd
```

formation energy from the elements = -0.18 eV/atom
raw total energy = -2.7979 eV/atom
D(E_F) = 4.7 states/eV per cell
symmetry = Immm

DFT (PBE) results for Li2NdAg4 after structural relaxation.

Cell and atoms, written as POSCAR:
```
Li2NdAg4
1.0
-1.451 -2.292 -4.554
4.168 -2.324 -3.204
-1.343 -5.586 0.193
Ag Li Nd
4 2 1
Cartesian
-0.964 -2.884 -1.309 Ag
2.339 -7.318 -6.257 Ag
1.190 -1.608 -2.637 Ag
0.184 -8.593 -4.928 Ag
1.055 -4.534 -2.642 Li
0.320 -5.667 -4.923 Li
2.826 -7.909 -3.011 Nd
```

formation energy from the elements = -0.24 eV/atom
raw total energy = -3.0984 eV/atom
D(E_F) = 3.8 states/eV per cell
symmetry = C2/m

DFT (PBE) results for LiNdAg4 after structural relaxation.

Cell and atoms, written as POSCAR:
```
LiNdAg4
1.0
5.627 0.000 0.000
2.813 4.873 0.000
2.813 1.624 4.594
Ag Li Nd
4 1 1
Cartesian
5.627 3.248 0.563 Ag
7.042 4.066 2.875 Ag
5.627 1.614 2.875 Ag
4.211 4.066 2.875 Ag
0.000 0.000 0.000 Li
2.813 1.624 1.149 Nd
```

energy above the most stable polymorph in this dataset = 0.0 kJ/mol of formula units
formation energy from the elements = -0.16 eV/atom
raw total energy = -3.1789 eV/atom
D(E_F) = 6.5 states/eV per cell
symmetry = F-43m

DFT (PBE) results for Li4NdAg5 after structural relaxation.

Cell and atoms, written as POSCAR:
```
Li4NdAg5
1.0
3.284 0.000 0.000
0.000 3.284 0.000
0.000 0.000 16.672
Ag Li Nd
5 4 1
Cartesian
1.642 1.642 14.383 Ag
1.642 1.642 2.288 Ag
1.642 1.642 5.296 Ag
1.642 1.642 8.336 Ag
1.642 1.642 11.375 Ag
0.000 0.000 12.895 Li
0.000 0.000 6.812 Li
0.000 0.000 9.859 Li
0.000 0.000 3.777 Li
0.000 0.000 0.000 Nd
```

formation energy from the elements = -0.20 eV/atom
raw total energy = -2.8705 eV/atom
D(E_F) = 4.4 states/eV per cell
symmetry = P4/mmm

DFT (PBE) results for LiNd2Ag6 after structural relaxation.

Cell and atoms, written as POSCAR:
```
LiNd2Ag6
1.0
3.224 0.000 0.002
0.003 7.331 4.216
0.002 0.015 8.457
Nd Ag Li
2 6 1
Cartesian
0.003 4.897 8.448 Nd
0.002 2.449 4.224 Nd
1.615 2.402 1.382 Ag
1.615 0.005 2.772 Ag
1.614 7.341 9.903 Ag
1.615 4.934 5.606 Ag
1.614 2.412 7.068 Ag
1.612 4.929 2.835 Ag
0.000 0.000 0.000 Li
```

energy above the most stable polymorph in this dataset = 22.4 kJ/mol of formula units
formation energy from the elements = -0.14 eV/atom
raw total energy = -3.3179 eV/atom
D(E_F) = 4.8 states/eV per cell
symmetry = P6/mmm

DFT (PBE) results for LiNdAg2 after structural relaxation.

Cell and atoms, written as POSCAR:
```
LiNdAg2
1.0
-1.447 0.029 3.082
-4.609 -0.987 -2.155
0.875 -5.088 0.459
Ag Nd Li
2 1 1
Cartesian
0.437 -2.544 0.230 Ag
-2.305 -0.494 -1.078 Ag
-2.591 -3.023 0.693 Nd
-0.724 0.015 1.541 Li
```

energy above the most stable polymorph in this dataset = 35.2 kJ/mol of formula units
formation energy from the elements = -0.13 eV/atom
raw total energy = -3.2240 eV/atom
D(E_F) = 3.6 states/eV per cell
symmetry = P4/mmm

DFT (PBE) results for Li3NdAg4 after structural relaxation.

Cell and atoms, written as POSCAR:
```
Li3NdAg4
1.0
-0.378 2.392 -3.884
-4.138 1.051 -1.647
-1.438 8.456 2.651
Ag Li Nd
4 3 1
Cartesian
-2.957 8.151 -0.086 Ag
-1.464 5.656 0.929 Ag
-4.490 6.243 -3.808 Ag
-2.997 3.747 -2.794 Ag
-2.977 5.949 -1.440 Li
-1.486 3.250 -0.550 Li
-4.468 8.648 -2.329 Li
0.000 0.000 0.000 Nd
```

formation energy from the elements = -0.20 eV/atom
raw total energy = -2.9401 eV/atom
D(E_F) = 3.2 states/eV per cell
symmetry = R-3m

DFT (PBE) results for LiNdAg after structural relaxation.

Cell and atoms, written as POSCAR:
```
LiNdAg
1.0
-3.102 -2.725 -1.049
4.454 -6.229 3.009
-3.458 1.095 7.385
Nd Ag Li
4 4 4
Cartesian
1.749 -3.332 3.483 Nd
-0.753 -1.802 6.911 Nd
-0.145 -5.486 6.030 Nd
-1.961 -2.373 3.316 Nd
3.034 -5.509 5.342 Ag
-0.236 -3.411 0.909 Ag
-1.870 -4.448 8.437 Ag
-2.037 0.375 5.052 Ag
0.613 -4.281 9.312 Li
2.001 -6.898 3.352 Li
-4.107 -0.961 5.994 Li
0.384 -0.853 1.082 Li
```

energy above the most stable polymorph in this dataset = 6.1 kJ/mol of formula units
formation energy from the elements = -0.13 eV/atom
raw total energy = -3.3066 eV/atom
D(E_F) = 9.4 states/eV per cell
symmetry = P4_2/m

Q: What is the formula in the fifth record?
A: LiNd2Ag6

Q: Which of these has the highest D(E_F)?
A: LiNdAg

Q: What is the formation energy from the elements in the fourth record?
A: -0.20 eV/atom

Copy entry 7 word for word.
DFT (PBE) results for Li3NdAg4 after structural relaxation.

Cell and atoms, written as POSCAR:
```
Li3NdAg4
1.0
-0.378 2.392 -3.884
-4.138 1.051 -1.647
-1.438 8.456 2.651
Ag Li Nd
4 3 1
Cartesian
-2.957 8.151 -0.086 Ag
-1.464 5.656 0.929 Ag
-4.490 6.243 -3.808 Ag
-2.997 3.747 -2.794 Ag
-2.977 5.949 -1.440 Li
-1.486 3.250 -0.550 Li
-4.468 8.648 -2.329 Li
0.000 0.000 0.000 Nd
```

formation energy from the elements = -0.20 eV/atom
raw total energy = -2.9401 eV/atom
D(E_F) = 3.2 states/eV per cell
symmetry = R-3m